A plane-wave DFT calculation with PBE-GGA was carried out for a relaxed RbLi3Os crystal.

abc: 4.5117 4.5117 4.5117
angles: 90.00 90.00 90.00
Positions (direct):
Li (0.0000, 0.5000, 0.0000)
Os (0.5000, 0.5000, 0.5000)
Rb (0.0000, 0.0000, 0.0000)
Li (0.5000, 0.0000, 0.0000)
Li (0.0000, 0.0000, 0.5000)

Results
Raw total energy = -1.964 eV per atom
Crystal system = cubic
Symmetry = Pm-3m
Magnetization = 0.00 μB per formula unit
Relative energy among the computed polymorphs = 805 meV/atom
Energy relative to the elements = 1.62 eV/atom